DFT (PBE) results for a relaxed structure of BC3.

Cell: 8.723 8.723 8.723 Å, 17.00 17.00 17.00°
Fractional positions:
B: 0.093 0.093 0.093
B: 0.907 0.907 0.907
C: 0.159 0.159 0.159
C: 0.344 0.344 0.344
C: 0.403 0.403 0.403
C: 0.597 0.597 0.597
C: 0.656 0.656 0.656
C: 0.841 0.841 0.841

Output
M_tot, μB/f.u.: 0.000
Excess energy over the best structure of this formula in the dataset, meV/atom: 63